Record 1
Below is a geometry-optimized Ca2Ni4Sb3As structure, with properties calculated at the PBE level.

## Properties
Formation energy without anion corrections (eV/atom): -0.5395
Mass density (g/cm3): 6.48
Total moment (μB/cell): 0.0
Final energy (eV for the cell shown): -49.54

abc: 4.390 4.390 10.044
angles: 90.00 90.00 90.00
Space group P-4m2 (No. 115)
One atom of each set of equivalent atoms:
Ca 0.000 0.500 0.248 (multiplicity 2)
Ni 0.000 0.000 0.000 (multiplicity 1)
Ni 0.000 0.500 0.618 (multiplicity 2)
Ni 0.500 0.500 0.000 (multiplicity 1)
Sb 0.000 0.500 0.868 (multiplicity 2)
Sb 0.500 0.500 0.500 (multiplicity 1)
As 0.000 0.000 0.500 (multiplicity 1)

Record 2
Below is a geometry-optimized ScZnFeSe2 structure, with properties calculated at the PBE level.

## Properties
Formation energy without anion corrections (eV/atom): 0.3343
Mass density (g/cm3): 4.01
Total moment (μB/cell): 3.1
Final energy (eV for the cell shown): -21.37

abc: 5.112 5.112 5.131
angles: 90.00 90.00 90.00
Space group P4/mmm (No. 123)
One atom of each set of equivalent atoms:
Sc 0.000 0.000 0.000 (multiplicity 1)
Zn 0.000 0.000 0.500 (multiplicity 1)
Fe 0.500 0.500 0.500 (multiplicity 1)
Se 0.000 0.500 0.000 (multiplicity 2)

Record 3
Below is a geometry-optimized Li2Hg4Pd structure, with properties calculated at the PBE level.

## Properties
Offset from the most stable computed form (meV per atom): 46.7
Mass density (g/cm3): 10.61
E_form (eV/atom): -0.20
Total moment (μB/cell): 0.0
Final energy (eV for the cell shown): -23.29

abc: 14.551 3.150 7.092
angles: 90.00 117.36 90.00
Space group C2/m (No. 12)
One atom of each set of equivalent atoms:
Li 0.212 0.000 0.246 (multiplicity 4)
Hg 0.091 0.500 0.379 (multiplicity 4)
Hg 0.136 0.000 0.809 (multiplicity 4)
Pd 0.000 0.000 0.000 (multiplicity 2)

Record 4
Below is a geometry-optimized BaIrRu structure, with properties calculated at the PBE level.

## Properties
Offset from the most stable computed form (meV per atom): 29.4
Mass density (g/cm3): 9.00
E_form (eV/atom): 0.18
Total moment (μB/cell): 0.0
Final energy (eV for the cell shown): -19.51

abc: 4.2134 4.2134 5.1691
angles: 90.00 90.00 120.00
Space group P-6m2 (No. 187)
One atom of each set of equivalent atoms:
Ba 0.0000 0.0000 0.0000 (multiplicity 1)
Ir 0.6667 0.3333 0.5000 (multiplicity 1)
Ru 0.3333 0.6667 0.5000 (multiplicity 1)

Record 5
Below is a geometry-optimized RbTlMo2As structure, with properties calculated at the PBE level.

## Properties
Mass density (g/cm3): 4.39
E_form (eV/atom): 2.70
Total moment (μB/cell): 9.3
Final energy (eV for the cell shown): -16.16

abc: 5.997 5.997 5.859
angles: 90.00 90.00 90.00
Space group P4/mmm (No. 123)
One atom of each set of equivalent atoms:
Rb 0.000 0.000 0.000 (multiplicity 1)
Tl 0.500 0.500 0.500 (multiplicity 1)
Mo 0.000 0.500 0.000 (multiplicity 2)
As 0.000 0.000 0.500 (multiplicity 1)

Record 6
Below is a geometry-optimized GePd4Au3 structure, with properties calculated at the PBE level.

## Properties
Mass density (g/cm3): 13.83
E_form (eV/atom): -0.20
Total moment (μB/cell): 0.0
Final energy (eV for the cell shown): -73.65

abc: 5.942 5.945 7.973
angles: 90.00 111.80 90.00
Space group C2/m (No. 12)
One atom of each set of equivalent atoms:
Ge 0.000 0.000 0.000 (multiplicity 2)
Pd 0.132 0.250 0.764 (multiplicity 8)
Au 0.000 0.500 0.000 (multiplicity 2)
Au 0.249 0.500 0.498 (multiplicity 4)

Record 7
Below is a geometry-optimized CaTa2Re structure, with properties calculated at the PBE level.

## Properties
Offset from the most stable computed form (meV per atom): 294.5
Mass density (g/cm3): 13.15
E_form (eV/atom): 0.65
Total moment (μB/cell): 0.0
Final energy (eV for the cell shown): -35.55

abc: 4.763 4.763 3.273
angles: 90.00 90.00 90.00
Space group P4/mmm (No. 123)
One atom of each set of equivalent atoms:
Ca 0.000 0.000 0.000 (multiplicity 1)
Ta 0.000 0.500 0.500 (multiplicity 2)
Re 0.500 0.500 0.000 (multiplicity 1)

Record 8
Below is a geometry-optimized V7Ni2N2 structure, with properties calculated at the PBE level.

## Properties
Formation energy without anion corrections (eV/atom): -0.3239
Mass density (g/cm3): 6.65
Total moment (μB/cell): 0.0
Final energy (eV for the cell shown): -191.21

abc: 2.667 13.230 7.104
angles: 90.00 90.00 90.00
Space group Imm2 (No. 44)
One atom of each set of equivalent atoms:
V 0.000 0.000 0.000 (multiplicity 2)
V 0.000 0.147 0.435 (multiplicity 4)
V 0.000 0.323 0.617 (multiplicity 4)
V 0.000 0.343 0.267 (multiplicity 4)
Ni 0.000 0.000 0.646 (multiplicity 2)
Ni 0.000 0.500 0.815 (multiplicity 2)
N 0.000 0.239 0.913 (multiplicity 4)

Record 9
Below is a geometry-optimized TbNd2N structure, with properties calculated at the PBE level.

## Properties
Formation energy without anion corrections (eV/atom): -0.5388
Mass density (g/cm3): 7.11
Total moment (μB/cell): 0.0
Final energy (eV for the cell shown): -73.94

abc: 3.5812 3.5812 29.1242
angles: 90.00 90.00 120.00
Space group R-3m (No. 166, hexagonal axes)
One atom of each set of equivalent atoms:
Tb 0.0000 0.0000 0.0000 (multiplicity 3)
Nd 0.0000 0.0000 0.1192 (multiplicity 6)
N 0.0000 0.0000 0.5000 (multiplicity 3)

Record 10
Below is a geometry-optimized CsSm4Se6 structure, with properties calculated at the PBE level.

## Properties
Offset from the most stable computed form (meV per atom): 260.0
Formation energy without anion corrections (eV/atom): -1.5164
Mass density (g/cm3): 5.92
Total moment (μB/cell): 0.0
Final energy (eV for the cell shown): -114.64

abc: 8.107 8.107 10.307
angles: 90.00 90.00 90.00
Space group I-42m (No. 121)
One atom of each set of equivalent atoms:
Cs 0.000 0.000 0.000 (multiplicity 2)
Sm 0.191 0.191 0.396 (multiplicity 8)
Se 0.000 0.500 0.000 (multiplicity 4)
Se 0.152 0.152 0.683 (multiplicity 8)

Record 11
Below is a geometry-optimized Ca2LaSi structure, with properties calculated at the PBE level.

## Properties
Formation energy without anion corrections (eV/atom): -0.1356
Mass density (g/cm3): 2.59
Total moment (μB/cell): 1.9
Final energy (eV for the cell shown): -44.69

abc: 4.2951 4.2951 29.8093
angles: 90.00 90.00 120.00
Space group R3m (No. 160, hexagonal axes)
One atom of each set of equivalent atoms:
Ca 0.0000 0.0000 0.0000 (multiplicity 3)
Ca 0.0000 0.0000 0.2206 (multiplicity 3)
La 0.0000 0.0000 0.7814 (multiplicity 3)
Si 0.0000 0.0000 0.4995 (multiplicity 3)

Record 12
Below is a geometry-optimized La5NdCd2In structure, with properties calculated at the PBE level.

## Properties
Mass density (g/cm3): 6.40
E_form (eV/atom): -0.12
Total moment (μB/cell): 0.0
Final energy (eV for the cell shown): -140.30

abc: 7.840 7.840 19.903
angles: 90.00 90.00 90.00
Space group I4/mcm (No. 140)
One atom of each set of equivalent atoms:
La 0.000 0.000 0.000 (multiplicity 4)
La 0.211 0.289 0.135 (multiplicity 16)
Nd 0.000 0.000 0.250 (multiplicity 4)
Cd 0.120 0.380 0.500 (multiplicity 8)
In 0.000 0.500 0.250 (multiplicity 4)

Record 13
Below is a geometry-optimized MgSn2Pd8 structure, with properties calculated at the PBE level.

## Properties
Offset from the most stable computed form (meV per atom): 0.0
Mass density (g/cm3): 9.92
E_form (eV/atom): -0.49
Total moment (μB/cell): 0.0
Final energy (eV for the cell shown): -113.14

abc: 4.183 7.275 12.245
angles: 90.00 90.00 90.00
Space group Immm (No. 71)
One atom of each set of equivalent atoms:
Mg 0.000 0.000 0.000 (multiplicity 2)
Sn 0.000 0.000 0.318 (multiplicity 4)
Pd 0.000 0.212 0.500 (multiplicity 4)
Pd 0.000 0.267 0.161 (multiplicity 8)
Pd 0.000 0.500 0.349 (multiplicity 4)

Record 14
Below is a geometry-optimized SrMgIr2 structure, with properties calculated at the PBE level.

## Properties
Mass density (g/cm3): 10.85
E_form (eV/atom): 0.18
Total moment (μB/cell): 0.0
Final energy (eV for the cell shown): -40.54

abc: 6.070 8.267 3.028
angles: 90.00 90.00 90.00
Space group Cmmm (No. 65)
One atom of each set of equivalent atoms:
Sr 0.000 0.000 0.000 (multiplicity 2)
Mg 0.000 0.500 0.000 (multiplicity 2)
Ir 0.250 0.250 0.500 (multiplicity 4)

Record 15
Below is a geometry-optimized NdY2TmN4 structure, with properties calculated at the PBE level.

## Properties
Formation energy without anion corrections (eV/atom): -1.6113
Mass density (g/cm3): 7.44
Total moment (μB/cell): 0.0
Final energy (eV for the cell shown): -68.36

abc: 6.073 3.507 6.075
angles: 90.00 109.43 90.00
Space group P2/m (No. 10)
One atom of each set of equivalent atoms:
Nd 0.000 0.000 0.000 (multiplicity 1)
Y 0.500 0.000 0.500 (multiplicity 1)
Y 0.500 0.500 0.000 (multiplicity 1)
Tm 0.000 0.500 0.500 (multiplicity 1)
N 0.250 0.000 0.743 (multiplicity 2)
N 0.255 0.500 0.259 (multiplicity 2)

Record 16
Below is a geometry-optimized InTcIr2 structure, with properties calculated at the PBE level.

## Properties
Mass density (g/cm3): 15.57
E_form (eV/atom): 0.10
Total moment (μB/cell): 0.0
Final energy (eV for the cell shown): -91.29

abc: 2.8635 2.8635 26.9169
angles: 90.00 90.00 120.00
Space group R-3m (No. 166, hexagonal axes)
One atom of each set of equivalent atoms:
In 0.0000 0.0000 0.0000 (multiplicity 3)
Tc 0.0000 0.0000 0.5000 (multiplicity 3)
Ir 0.0000 0.0000 0.2452 (multiplicity 6)

Record 17
Below is a geometry-optimized ZrTe2Se structure, with properties calculated at the PBE level.

## Properties
Formation energy without anion corrections (eV/atom): -0.1885
Mass density (g/cm3): 7.38
Total moment (μB/cell): 0.0
Final energy (eV for the cell shown): -38.14

abc: 4.508 4.508 9.420
angles: 90.00 90.00 90.00
Space group I4/mmm (No. 139)
One atom of each set of equivalent atoms:
Zr 0.000 0.000 0.000 (multiplicity 2)
Te 0.000 0.500 0.250 (multiplicity 4)
Se 0.000 0.000 0.500 (multiplicity 2)

Record 18
Below is a geometry-optimized Ti2Zn2Ni7 structure, with properties calculated at the PBE level.

## Properties
Mass density (g/cm3): 7.46
E_form (eV/atom): -0.10
Total moment (μB/cell): 0.0
Final energy (eV for the cell shown): -119.92

abc: 8.961 7.631 4.196
angles: 90.00 98.71 90.00
Space group C2/m (No. 12)
One atom of each set of equivalent atoms:
Ti 0.000 0.217 0.000 (multiplicity 4)
Zn 0.237 0.500 0.780 (multiplicity 4)
Ni 0.000 0.000 0.500 (multiplicity 2)
Ni 0.057 0.500 0.277 (multiplicity 4)
Ni 0.214 0.174 0.719 (multiplicity 8)

Record 19
Below is a geometry-optimized TlCo2Ru structure, with properties calculated at the PBE level.

## Properties
Offset from the most stable computed form (meV per atom): 0.0
Mass density (g/cm3): 11.88
E_form (eV/atom): 0.47
Total moment (μB/cell): 4.2
Final energy (eV for the cell shown): -23.98

abc: 2.996 2.996 6.590
angles: 90.00 90.00 90.00
Space group P4mm (No. 99)
One atom of each set of equivalent atoms:
Tl 0.000 0.000 0.000 (multiplicity 1)
Co 0.000 0.000 0.473 (multiplicity 1)
Co 0.500 0.500 0.290 (multiplicity 1)
Ru 0.500 0.500 0.695 (multiplicity 1)

Record 20
Below is a geometry-optimized K2NaGe2 structure, with properties calculated at the PBE level.

## Properties
Offset from the most stable computed form (meV per atom): 0.0
Mass density (g/cm3): 2.47
E_form (eV/atom): -0.03
Total moment (μB/cell): 0.0
Final energy (eV for the cell shown): -25.85

abc: 10.624 4.248 7.380
angles: 90.00 96.55 90.00
Space group C2/m (No. 12)
One atom of each set of equivalent atoms:
K 0.128 0.000 0.354 (multiplicity 4)
Na 0.000 0.500 0.000 (multiplicity 2)
Ge 0.214 0.000 0.903 (multiplicity 4)